## NpScFeO6 (PBE with a Hubbard U)

Data for a relaxed structure of NpScFeO6.

Summary:
Total DFT energy (no corrections)   -8.563 eV/atom
Magnetic moment   6.0 μB/f.u.

Cell lengths 5.392, 5.392, 8.816 Å; angles 90.00, 90.00, 120.00 degrees
Fractional positions:
1 Np 0.333 0.667 0.250
2 Np 0.667 0.333 0.750
3 Sc 0.333 0.667 0.750
4 Sc 0.667 0.333 0.250
5 Fe 0.000 0.000 0.000
6 Fe 0.000 0.000 0.500
7 O 0.007 0.333 0.128
8 O 0.007 0.674 0.372
9 O 0.326 0.333 0.372
10 O 0.326 0.993 0.128
11 O 0.333 0.007 0.628
12 O 0.333 0.326 0.872
13 O 0.667 0.674 0.128
14 O 0.667 0.993 0.372
15 O 0.674 0.007 0.872
16 O 0.674 0.667 0.628
17 O 0.993 0.326 0.628
18 O 0.993 0.667 0.872